Record 1
A plane-wave DFT calculation with GGA-PBE was carried out for an optimized crystal structure of BiSeSBr2.

Final energy in eV/f.u.: -13.19
Mass density in Mg/m³: 6.01
Energy relative to the elements, uncorrected in eV/atom: 0.33
Total moment in μB/f.u.: 0.00
Symmetry: P4/mmm, No. 123
Energy relative to the lowest polymorph listed for this composition in kJ/mol of atoms: 0.0

abc: 5.1379 5.1379 5.0225
angles: 90.00 90.00 90.00
Positions (direct):
Bi1 0.0000 0.0000 0.0000
Se1 0.5000 0.5000 0.0000
S1 0.5000 0.5000 0.5000
Br1 0.0000 0.5000 0.5000
Br2 0.5000 0.0000 0.5000

***

Record 2
A plane-wave DFT calculation with GGA-PBE was carried out for an optimized crystal structure of BiSe2SBr.

Final energy in eV/f.u.: -13.21
Mass density in Mg/m³: 4.41
Energy relative to the elements, uncorrected in eV/atom: 0.69
Total moment in μB/f.u.: 3.89
Symmetry: P4/mmm, No. 123
Energy relative to the lowest polymorph listed for this composition in kJ/mol of atoms: 36.6

abc: 5.6356 5.6356 5.6744
angles: 90.00 90.00 90.00
Positions (direct):
Bi1 0.0000 0.0000 0.0000
Se1 0.0000 0.5000 0.0000
Se2 0.5000 0.0000 0.0000
S1 0.5000 0.5000 0.5000
Br1 0.0000 0.0000 0.5000

***

Record 3
A plane-wave DFT calculation with GGA-PBE was carried out for an optimized crystal structure of BiSeSBr2.

Final energy in eV/f.u.: -12.87
Mass density in Mg/m³: 4.31
Energy relative to the elements, uncorrected in eV/atom: 0.39
Total moment in μB/f.u.: 3.00
Symmetry: P4/mmm, No. 123
Energy relative to the lowest polymorph listed for this composition in kJ/mol of atoms: 6.3

abc: 5.6810 5.6810 5.7338
angles: 90.00 90.00 90.00
Positions (direct):
Bi1 0.0000 0.0000 0.0000
Se1 0.0000 0.0000 0.5000
S1 0.5000 0.5000 0.5000
Br1 0.0000 0.5000 0.0000
Br2 0.5000 0.0000 0.0000

***

Record 4
A plane-wave DFT calculation with GGA-PBE was carried out for an optimized crystal structure of BiSe2SBr.

Final energy in eV/f.u.: -15.11
Mass density in Mg/m³: 6.35
Energy relative to the elements, uncorrected in eV/atom: 0.31
Total moment in μB/f.u.: 0.00
Symmetry: P4/mmm, No. 123
Energy relative to the lowest polymorph listed for this composition in kJ/mol of atoms: 0.0

abc: 4.9575 4.9575 5.0949
angles: 90.00 90.00 90.00
Positions (direct):
Bi1 0.0000 0.0000 0.0000
Se1 0.0000 0.5000 0.5000
Se2 0.5000 0.0000 0.5000
S1 0.5000 0.5000 0.5000
Br1 0.5000 0.5000 0.0000

***

Record 5
A plane-wave DFT calculation with GGA-PBE was carried out for an optimized crystal structure of SnBiS2Br.

Final energy in eV/f.u.: -17.02
Mass density in Mg/m³: 5.67
Energy relative to the elements, uncorrected in eV/atom: 0.16
Total moment in μB/f.u.: 0.00
Symmetry: P4/mmm, No. 123
Energy relative to the lowest polymorph listed for this composition in kJ/mol of atoms: 61.7

abc: 5.0798 5.0798 5.3503
angles: 90.00 90.00 90.00
Positions (direct):
Sn1 0.0000 0.0000 0.0000
Bi1 0.5000 0.5000 0.5000
S1 0.0000 0.5000 0.0000
S2 0.5000 0.0000 0.0000
Br1 0.0000 0.0000 0.5000

***

Record 6
A plane-wave DFT calculation with GGA-PBE was carried out for an optimized crystal structure of SnBi2SBr.

Final energy in eV/f.u.: -15.38
Mass density in Mg/m³: 6.20
Energy relative to the elements, uncorrected in eV/atom: 0.44
Total moment in μB/f.u.: 0.00
Symmetry: P4/mmm, No. 123

abc: 5.8961 5.8961 5.0013
angles: 90.00 90.00 90.00
Positions (direct):
Sn1 0.0000 0.0000 0.0000
Bi1 0.0000 0.5000 0.0000
Bi2 0.5000 0.0000 0.0000
S1 0.0000 0.0000 0.5000
Br1 0.5000 0.5000 0.5000

***

Record 7
A plane-wave DFT calculation with GGA-PBE was carried out for an optimized crystal structure of SnBiS2Br.

Final energy in eV/f.u.: -20.21
Mass density in Mg/m³: 4.32
Energy relative to the elements, uncorrected in eV/atom: -0.48
Total moment in μB/f.u.: 0.00
Symmetry: P2_1/m, No. 11
Energy relative to the lowest polymorph listed for this composition in kJ/mol of atoms: 0.0

abc: 8.9805 4.0770 10.5384
angles: 90.00 109.85 90.00
Positions (direct):
Sn1 0.0152 0.2500 0.1763
Sn2 0.9848 0.7500 0.8237
Bi1 0.4589 0.7500 0.3248
Bi2 0.5411 0.2500 0.6752
S1 0.1601 0.7500 0.1022
S2 0.3142 0.2500 0.4174
S3 0.6858 0.7500 0.5826
S4 0.8399 0.2500 0.8978
Br1 0.3722 0.7500 0.7821
Br2 0.6278 0.2500 0.2179

***

Record 8
A plane-wave DFT calculation with GGA-PBE was carried out for an optimized crystal structure of TiBiS2Br.

Final energy in eV/f.u.: -23.76
Mass density in Mg/m³: 5.75
Energy relative to the elements, uncorrected in eV/atom: -0.41
Total moment in μB/f.u.: 0.19
Symmetry: P4/mmm, No. 123

abc: 4.7631 4.7631 5.1056
angles: 90.00 90.00 90.00
Positions (direct):
Ti1 0.0000 0.0000 0.0000
Bi1 0.5000 0.5000 0.5000
S1 0.0000 0.5000 0.0000
S2 0.5000 0.0000 0.0000
Br1 0.0000 0.0000 0.5000

***

Record 9
A plane-wave DFT calculation with GGA-PBE was carried out for an optimized crystal structure of BiSb2Br.

Final energy in eV/f.u.: -13.60
Mass density in Mg/m³: 6.40
Energy relative to the elements, uncorrected in eV/atom: 0.05
Total moment in μB/f.u.: 0.00
Symmetry: I-42d, No. 122
Energy relative to the lowest polymorph listed for this composition in kJ/mol of atoms: 0.0

abc: 7.5026 7.5026 7.5026
angles: 98.45 98.45 134.92
Positions (direct):
Bi1 0.0000 0.0000 0.0000
Bi2 0.7500 0.2500 0.5000
Sb1 0.0696 0.6250 0.9446
Sb2 0.3750 0.3196 0.4446
Sb3 0.6804 0.1250 0.0554
Sb4 0.8750 0.9304 0.5554
Br1 0.2500 0.7500 0.5000
Br2 0.5000 0.5000 0.0000

***

Record 10
A plane-wave DFT calculation with GGA-PBE was carried out for an optimized crystal structure of BiSb3Br.

Final energy in eV/f.u.: -13.62
Mass density in Mg/m³: 5.32
Energy relative to the elements, uncorrected in eV/atom: 0.86
Total moment in μB/f.u.: 0.00
Symmetry: Pm-3m, No. 221
Energy relative to the lowest polymorph listed for this composition in kJ/mol of atoms: 1.6

abc: 5.8874 5.8874 5.8874
angles: 90.00 90.00 90.00
Positions (direct):
Bi1 0.0000 0.0000 0.0000
Sb1 0.0000 0.0000 0.5000
Sb2 0.0000 0.5000 0.0000
Sb3 0.5000 0.0000 0.0000
Br1 0.5000 0.5000 0.5000

***

Record 11
A plane-wave DFT calculation with GGA-PBE was carried out for an optimized crystal structure of BiSb2Br2.

Final energy in eV/f.u.: -14.36
Mass density in Mg/m³: 6.72
Energy relative to the elements, uncorrected in eV/atom: 0.22
Total moment in μB/f.u.: 0.00
Symmetry: P4/mbm, No. 127
Energy relative to the lowest polymorph listed for this composition in kJ/mol of atoms: 6.2

abc: 9.5723 9.5723 3.3025
angles: 90.00 90.00 90.00
Positions (direct):
Bi1 0.0000 0.0000 0.0000
Bi2 0.5000 0.5000 0.0000
Sb1 0.2093 0.2907 0.5000
Sb2 0.2907 0.7907 0.5000
Sb3 0.7093 0.2093 0.5000
Sb4 0.7907 0.7093 0.5000
Br1 0.1183 0.6183 0.0000
Br2 0.3817 0.1183 0.0000
Br3 0.6183 0.8817 0.0000
Br4 0.8817 0.3817 0.0000

***

Record 12
A plane-wave DFT calculation with GGA-PBE was carried out for an optimized crystal structure of BiSb2Br.

Final energy in eV/f.u.: -13.17
Mass density in Mg/m³: 7.86
Energy relative to the elements, uncorrected in eV/atom: 0.16
Total moment in μB/f.u.: 0.00
Symmetry: Fm-3m, No. 225
Energy relative to the lowest polymorph listed for this composition in kJ/mol of atoms: 10.4

abc: 5.4193 5.4193 5.4193
angles: 60.00 60.00 60.00
Positions (direct):
Bi1 0.0000 0.0000 0.0000
Sb1 0.2500 0.2500 0.2500
Sb2 0.7500 0.7500 0.7500
Br1 0.5000 0.5000 0.5000

***

Record 13
A plane-wave DFT calculation with GGA-PBE was carried out for an optimized crystal structure of BiSb3Br.

Final energy in eV/f.u.: -13.71
Mass density in Mg/m³: 6.46
Energy relative to the elements, uncorrected in eV/atom: 0.84
Total moment in μB/f.u.: 0.00
Symmetry: Pm-3m, No. 221
Energy relative to the lowest polymorph listed for this composition in kJ/mol of atoms: 0.0

abc: 5.5185 5.5185 5.5185
angles: 90.00 90.00 90.00
Positions (direct):
Bi1 0.0000 0.0000 0.0000
Sb1 0.0000 0.5000 0.5000
Sb2 0.5000 0.0000 0.5000
Sb3 0.5000 0.5000 0.0000
Br1 0.5000 0.5000 0.5000

***

Record 14
A plane-wave DFT calculation with GGA-PBE was carried out for an optimized crystal structure of BiSbBr.

Final energy in eV/f.u.: -10.31
Mass density in Mg/m³: 6.39
Energy relative to the elements, uncorrected in eV/atom: -0.21
Total moment in μB/f.u.: 0.00
Symmetry: P2_1/c, No. 14
Energy relative to the lowest polymorph listed for this composition in kJ/mol of atoms: 5.1

abc: 8.3315 6.1627 8.5493
angles: 90.00 103.38 90.00
Positions (direct):
Bi1 0.2492 0.1095 0.0791
Bi2 0.2492 0.3905 0.5791
Bi3 0.7508 0.6095 0.4209
Bi4 0.7508 0.8905 0.9209
Sb1 0.0152 0.0410 0.7560
Sb2 0.0152 0.4590 0.2560
Sb3 0.9848 0.5410 0.7440
Sb4 0.9848 0.9590 0.2440
Br1 0.4058 0.7176 0.0762
Br2 0.4058 0.7824 0.5762
Br3 0.5942 0.2176 0.4238
Br4 0.5942 0.2824 0.9238

***

Record 15
A plane-wave DFT calculation with GGA-PBE was carried out for an optimized crystal structure of Bi3Sb2Br2.

Final energy in eV/f.u.: -24.05
Mass density in Mg/m³: 6.18
Energy relative to the elements, uncorrected in eV/atom: -0.12
Total moment in μB/f.u.: 0.00
Symmetry: P2_1/c, No. 14

abc: 9.0236 8.5305 7.8193
angles: 90.00 113.10 90.00
Positions (direct):
Bi1 0.0000 0.0000 0.0000
Bi2 0.0000 0.5000 0.5000
Bi3 0.3151 0.0604 0.7224
Bi4 0.3151 0.4396 0.2224
Bi5 0.6849 0.5604 0.7776
Bi6 0.6849 0.9396 0.2776
Sb1 0.3618 0.1064 0.1178
Sb2 0.3618 0.3936 0.6178
Sb3 0.6382 0.6063 0.3822
Sb4 0.6382 0.8936 0.8822
Br1 0.0622 0.7027 0.8324
Br2 0.0622 0.7973 0.3324
Br3 0.9378 0.2027 0.6676
Br4 0.9378 0.2973 0.1676

***

Record 16
A plane-wave DFT calculation with GGA-PBE was carried out for an optimized crystal structure of BiSb2Br2.

Final energy in eV/f.u.: -14.68
Mass density in Mg/m³: 5.44
Energy relative to the elements, uncorrected in eV/atom: 0.16
Total moment in μB/f.u.: 0.00
Symmetry: I4/mmm, No. 139
Energy relative to the lowest polymorph listed for this composition in kJ/mol of atoms: 0.0

abc: 11.7125 11.7125 11.7125
angles: 160.06 160.06 28.35
Positions (direct):
Bi1 0.0000 0.0000 0.0000
Sb1 0.2500 0.7500 0.5000
Sb2 0.7500 0.2500 0.5000
Br1 0.4265 0.4265 0.0000
Br2 0.5735 0.5735 0.0000

***

Record 17
A plane-wave DFT calculation with GGA-PBE was carried out for an optimized crystal structure of Bi5SbBr2.

Final energy in eV/f.u.: -27.66
Mass density in Mg/m³: 7.12
Energy relative to the elements, uncorrected in eV/atom: -0.10
Total moment in μB/f.u.: 0.00
Symmetry: Cm, No. 8

abc: 7.9841 7.9841 6.4936
angles: 91.29 91.29 48.39
Positions (direct):
Bi1 0.0000 0.0000 0.0000
Bi2 0.3981 0.9193 0.6321
Bi3 0.4278 0.9088 0.1339
Bi4 0.9088 0.4278 0.1339
Bi5 0.9193 0.3981 0.6321
Sb1 0.4974 0.4974 0.5038
Br1 0.3953 0.3953 0.8414
Br2 0.8921 0.8921 0.3515

***

Record 18
A plane-wave DFT calculation with GGA-PBE was carried out for an optimized crystal structure of Bi3SbBr2.

Final energy in eV/f.u.: -19.40
Mass density in Mg/m³: 7.52
Energy relative to the elements, uncorrected in eV/atom: -0.05
Total moment in μB/f.u.: 0.00
Symmetry: C2/c, No. 15

abc: 9.8096 9.8096 7.2299
angles: 106.31 106.31 37.12
Positions (direct):
Bi1 0.0024 0.9976 0.7500
Bi2 0.3518 0.3585 0.9005
Bi3 0.3585 0.3518 0.4005
Bi4 0.6415 0.6482 0.5995
Bi5 0.6482 0.6415 0.0995
Bi6 0.9976 0.0024 0.2500
Sb1 0.4971 0.5029 0.2500
Sb2 0.5029 0.4971 0.7500
Br1 0.1492 0.1646 0.5282
Br2 0.1646 0.1492 0.0282
Br3 0.8354 0.8508 0.9718
Br4 0.8508 0.8354 0.4718

***

Record 19
A plane-wave DFT calculation with GGA-PBE was carried out for an optimized crystal structure of BiSbBr.

Final energy in eV/f.u.: -10.47
Mass density in Mg/m³: 6.30
Energy relative to the elements, uncorrected in eV/atom: -0.27
Total moment in μB/f.u.: 0.00
Symmetry: P-1, No. 2
Energy relative to the lowest polymorph listed for this composition in kJ/mol of atoms: 0.0

abc: 4.6723 5.9521 8.5195
angles: 96.16 90.13 113.01
Positions (direct):
Bi1 0.1927 0.3830 0.2551
Bi2 0.8073 0.6170 0.7449
Sb1 0.3778 0.7592 0.5433
Sb2 0.6222 0.2408 0.4567
Br1 0.1303 0.2552 0.8457
Br2 0.8697 0.7448 0.1543

***

Record 20
A plane-wave DFT calculation with GGA-PBE was carried out for an optimized crystal structure of BiSbSeBr2.

Final energy in eV/f.u.: -14.12
Mass density in Mg/m³: 5.49
Energy relative to the elements, uncorrected in eV/atom: 0.14
Total moment in μB/f.u.: 1.89
Symmetry: P4/mmm, No. 123
Energy relative to the lowest polymorph listed for this composition in kJ/mol of atoms: 0.0

abc: 5.5054 5.5054 5.6807
angles: 90.00 90.00 90.00
Positions (direct):
Bi1 0.0000 0.0000 0.0000
Sb1 0.5000 0.5000 0.5000
Se1 0.5000 0.5000 0.0000
Br1 0.0000 0.5000 0.5000
Br2 0.5000 0.0000 0.5000